Density functional theory data (PBE) for a relaxed structure of Tb6CeDy4.

Properties
Space group: Cmcm, No. 63
Spin magnetization in μB per atom: 0.09
Formation enthalpy at 0 K in meV/atom: 148

Cell: 5.574 5.574 25.665 Å, 90.00 90.00 117.91°
Atoms (fractional coordinates):
Tb: 0.000 0.000 0.000
Tb: 0.000 0.000 0.500
Tb: 0.036 0.964 0.750
Tb: 0.300 0.700 0.102
Tb: 0.300 0.700 0.398
Tb: 0.372 0.628 0.681
Tb: 0.372 0.628 0.819
Tb: 0.628 0.372 0.181
Tb: 0.628 0.372 0.319
Tb: 0.700 0.300 0.602
Tb: 0.700 0.300 0.898
Tb: 0.964 0.036 0.250
Ce: 0.299 0.701 0.250
Ce: 0.701 0.299 0.750
Dy: 0.043 0.957 0.622
Dy: 0.043 0.957 0.878
Dy: 0.348 0.652 0.542
Dy: 0.348 0.652 0.958
Dy: 0.652 0.348 0.042
Dy: 0.652 0.348 0.458
Dy: 0.957 0.043 0.122
Dy: 0.957 0.043 0.378